(a)
Here is a geometry-optimized PmNd4Er2 structure from Alexandria. Energies are from PBE.

Values from the calculation:
ρ	7.37	g/cm3
crystal system	monoclinic

Cell: 12.6188 12.6188 6.8384 Å, 96.99 96.99 150.23°
Fractional coordinates of all 14 atoms:
Pm1 0.1249 0.8751 0.5000
Pm2 0.8751 0.1249 0.0000
Nd1 0.3638 0.7562 0.0999
Nd2 0.3710 0.8341 0.6312
Nd3 0.4072 0.5146 0.9013
Nd4 0.5146 0.4072 0.4013
Nd5 0.7562 0.3638 0.5999
Nd6 0.8341 0.3710 0.1312
Nd7 0.9534 0.9906 0.3704
Nd8 0.9906 0.9534 0.8704
Er1 0.2450 0.9276 0.0513
Er2 0.4435 0.6262 0.4494
Er3 0.6262 0.4435 0.9494
Er4 0.9276 0.2450 0.5513



(b)
Here is a geometry-optimized PmNd4Er2 structure from Alexandria. Energies are from PBE.

Values from the calculation:
ρ	7.27	g/cm3
crystal system	orthorhombic

Cell: 9.0561 9.0561 9.0561 Å, 135.29 101.08 95.57°
Fractional coordinates of all 14 atoms:
Pm1 0.5000 0.0000 0.0000
Pm2 0.5000 0.5000 0.5000
Nd1 0.1502 0.1487 0.0015
Nd2 0.2408 0.2124 0.4716
Nd3 0.2408 0.7692 0.0284
Nd4 0.3528 0.8513 0.5015
Nd5 0.6472 0.1487 0.4985
Nd6 0.7592 0.2308 0.9716
Nd7 0.7592 0.7876 0.5284
Nd8 0.8498 0.8513 0.9985
Er1 0.0000 0.5000 0.5000
Er2 0.0310 0.2810 0.7500
Er3 0.5000 0.5000 0.0000
Er4 0.9690 0.7190 0.2500



List of relative energies, unit eV/atom: (a) 0.000; (b) 0.194



(a)
Here is a geometry-optimized PmNd2Er8 structure from Alexandria. Energies are from PBE.

Values from the calculation:
ρ	8.28	g/cm3
crystal system	orthorhombic

Cell: 9.3854 9.3854 9.3854 Å, 145.99 129.08 62.65°
Fractional coordinates of all 11 atoms:
Pm1 0.0000 0.0000 0.0000
Nd1 0.2995 0.2995 0.0000
Nd2 0.7005 0.7005 0.0000
Er1 0.1539 0.8616 0.2923
Er2 0.1605 0.6605 0.5000
Er3 0.2932 0.5000 0.7932
Er4 0.4306 0.1384 0.2923
Er5 0.5694 0.8616 0.7077
Er6 0.7068 0.5000 0.2068
Er7 0.8395 0.3395 0.5000
Er8 0.8461 0.1384 0.7077



(b)
Here is a geometry-optimized PmNd2Er8 structure from Alexandria. Energies are from PBE.

Values from the calculation:
ρ	8.25	g/cm3
crystal system	monoclinic

Cell: 9.1931 9.1931 5.8816 Å, 105.52 105.52 121.15°
Fractional coordinates of all 11 atoms:
Pm1 0.0000 0.0000 0.0000
Nd1 0.3064 0.6936 0.5000
Nd2 0.6936 0.3064 0.5000
Er1 0.0981 0.3314 0.6742
Er2 0.2084 0.7916 0.0000
Er3 0.3314 0.0981 0.6742
Er4 0.4305 0.4305 0.2045
Er5 0.5695 0.5695 0.7955
Er6 0.6686 0.9019 0.3258
Er7 0.7916 0.2084 0.0000
Er8 0.9019 0.6686 0.3258



List of relative energies, unit eV/atom: (a) 0.000; (b) 0.045



(a)
Here is a geometry-optimized Pm2Nd8Er3 structure from Alexandria. Energies are from PBE.

Values from the calculation:
ρ	7.08	g/cm3
crystal system	monoclinic

Cell: 11.0361 11.0361 5.7138 Å, 90.01 90.01 40.97°
Fractional coordinates of all 13 atoms:
Pm1 0.2397 0.2397 0.4994
Pm2 0.7603 0.7603 0.5006
Nd1 0.1295 0.1295 0.9999
Nd2 0.1919 0.6004 0.4998
Nd3 0.3288 0.3288 0.9995
Nd4 0.3996 0.8081 0.5002
Nd5 0.6004 0.1919 0.4998
Nd6 0.6712 0.6712 0.0005
Nd7 0.8081 0.3996 0.5002
Nd8 0.8705 0.8705 0.0001
Er1 0.0000 0.0000 0.5000
Er2 0.2852 0.7148 0.0000
Er3 0.7148 0.2852 0.0000



(b)
Here is a geometry-optimized Pm2Nd8Er3 structure from Alexandria. Energies are from PBE.

Values from the calculation:
ρ	7.22	g/cm3
crystal system	monoclinic

Cell: 8.9575 8.9575 6.1535 Å, 107.73 107.73 82.36°
Fractional coordinates of all 13 atoms:
Pm1 0.1883 0.1883 0.3381
Pm2 0.8117 0.8117 0.6619
Nd1 0.0854 0.0854 0.7606
Nd2 0.0999 0.5767 0.3445
Nd3 0.3617 0.3617 0.8925
Nd4 0.4233 0.9001 0.6555
Nd5 0.5767 0.0999 0.3445
Nd6 0.6383 0.6383 0.1075
Nd7 0.9001 0.4233 0.6555
Nd8 0.9146 0.9146 0.2394
Er1 0.2341 0.7659 0.0000
Er2 0.5000 0.5000 0.5000
Er3 0.7659 0.2341 0.0000



List of relative energies, unit eV/atom: (a) 0.040; (b) 0.000